1.
La2Nd6Th3: optimized geometry, PBE.

Energy relative to the elements   0.1611 eV per atom
Calculated density   7.7 g cm⁻³
Crystal system   monoclinic

a b c (Å): 6.1152 6.4242 12.3376
angles (deg): 79.91 68.40 61.58
Last column: nearest neighbours and their distance in Å.
Positions (direct):
1 La 0.8575 0.2849 0.5000  1 La 3.22, 4 Nd 3.47-3.55
2 La 0.1425 0.7151 0.5000  1 La 3.22, 4 Nd 3.47-3.55
3 Th 0.0000 0.0000 0.0000  6 Nd 3.39-3.61, 6 Th 3.63-3.70
4 Th 0.6724 0.6551 0.0000  6 Nd 3.44-3.67, 5 Th 3.52-3.70
5 Th 0.3276 0.3449 0.0000  6 Nd 3.44-3.67, 5 Th 3.52-3.70
6 Nd 0.4952 0.3197 0.2599  6 Nd 3.54-3.86, 1 La 3.55, 3 Th 3.61-3.67
7 Nd 0.8297 0.0000 0.7677  3 Th 3.39-3.44, 2 La 3.47, 4 Nd 3.54-3.59
8 Nd 0.8149 0.6803 0.2599  6 Nd 3.54-3.86, 1 La 3.55, 3 Th 3.61-3.67
9 Nd 0.1851 0.3197 0.7401  6 Nd 3.54-3.86, 1 La 3.55, 3 Th 3.61-3.67
10 Nd 0.5048 0.6803 0.7401  6 Nd 3.54-3.86, 1 La 3.55, 3 Th 3.61-3.67
11 Nd 0.1703 0.0000 0.2323  3 Th 3.39-3.44, 2 La 3.47, 4 Nd 3.54-3.59



2.
Ac3Ge3Rh2: optimized geometry, PBE.

Energy relative to the elements   -0.7640 eV per atom
Excess energy over the best structure of this formula in the dataset   0.0517 eV/atom
Calculated density   9.2 g cm⁻³
Crystal system   orthorhombic

a b c (Å): 4.3689 6.2850 15.5594
angles (deg): 90.00 90.00 110.34
Last column: nearest neighbours and their distance in Å.
Positions (direct):
1 Ac 0.9291 0.8582 0.1048  7 Ge 3.27-3.62, 3 Rh 3.29-3.43
2 Ac 0.3476 0.6951 0.7500  5 Ge 3.22-3.52, 4 Rh 3.23
3 Ac 0.9291 0.8582 0.3952  7 Ge 3.27-3.62, 3 Rh 3.29-3.43
4 Ac 0.0709 0.1417 0.6048  7 Ge 3.27-3.62, 3 Rh 3.29-3.43
5 Ac 0.0709 0.1417 0.8952  7 Ge 3.27-3.62, 3 Rh 3.29-3.43
6 Ac 0.6524 0.3049 0.2500  5 Ge 3.22-3.52, 4 Rh 3.23
7 Ge 0.6465 0.2929 0.7500  2 Rh 2.74
8 Ge 0.3430 0.6861 0.9629  3 Rh 2.54-2.66
9 Ge 0.3430 0.6861 0.5371  3 Rh 2.54-2.66
10 Ge 0.6570 0.3139 0.0371  3 Rh 2.54-2.66
11 Ge 0.6570 0.3139 0.4629  3 Rh 2.54-2.66
12 Ge 0.3535 0.7071 0.2500  2 Rh 2.74
13 Rh 0.2199 0.4398 0.1061  4 Ge 2.54-2.74
14 Rh 0.7801 0.5602 0.6061  4 Ge 2.54-2.74
15 Rh 0.2199 0.4398 0.3939  4 Ge 2.54-2.74
16 Rh 0.7801 0.5602 0.8939  4 Ge 2.54-2.74



3.
MnNb5Tc6: optimized geometry, PBE.

Energy relative to the elements   -0.2476 eV per atom
Calculated density   9.6 g cm⁻³
Crystal system   orthorhombic

a b c (Å): 4.4719 6.3558 7.7703
angles (deg): 114.14 106.72 90.00
Last column: nearest neighbours and their distance in Å.
Positions (direct):
1 Nb 0.6685 0.6685 0.3369  8 Tc 2.73-2.76
2 Nb 0.0000 0.5000 0.0000  8 Tc 2.73-2.74
3 Nb 0.3398 0.8398 0.6797  8 Tc 2.69-2.82
4 Nb 0.3315 0.3315 0.6631  8 Tc 2.73-2.76
5 Nb 0.6602 0.1602 0.3203  8 Tc 2.69-2.82
6 Tc 0.1664 0.4168 0.3327  7 Nb 2.73-2.82, 1 Mn 2.75
7 Tc 0.8336 0.5832 0.6673  7 Nb 2.73-2.82, 1 Mn 2.75
8 Tc 0.1664 0.9160 0.3327  7 Nb 2.73-2.82, 1 Mn 2.75
9 Tc 0.5000 0.7473 0.0000  6 Nb 2.69-2.76, 2 Mn 2.75
10 Tc 0.5000 0.2527 0.0000  6 Nb 2.69-2.76, 2 Mn 2.75
11 Tc 0.8336 0.0840 0.6673  7 Nb 2.73-2.82, 1 Mn 2.75
12 Mn 0.0000 0.0000 0.0000  8 Tc 2.75



4.
Ni2Pt4W: optimized geometry, PBE.

Energy relative to the elements   0.1181 eV per atom
Excess energy over the best structure of this formula in the dataset   0.1937 eV/atom
Calculated density   16.4 g cm⁻³
Crystal system   monoclinic

a b c (Å): 5.2089 5.2089 6.9336
angles (deg): 138.15 112.04 60.60
Last column: nearest neighbours and their distance in Å.
Positions (direct):
1 Ni 0.5768 0.6722 0.2490  2 Ni 2.43-2.47, 1 W 2.52, 2 Pt 2.69
2 Ni 0.4232 0.3278 0.7510  2 Ni 2.43-2.47, 1 W 2.52, 2 Pt 2.69
3 Pt 0.0000 0.5000 0.0000  2 W 2.60, 6 Pt 2.63-2.81, 2 Ni 2.69
4 Pt 0.1559 0.6559 0.5000  2 W 2.70, 5 Pt 2.77-2.81, 2 Ni 2.86
5 Pt 0.5000 0.0000 0.0000  2 W 2.60, 6 Pt 2.63-2.81, 2 Ni 2.69
6 Pt 0.8441 0.3441 0.5000  2 W 2.70, 5 Pt 2.77-2.81, 2 Ni 2.86
7 W 0.0000 0.0000 0.0000  2 Ni 2.52, 8 Pt 2.60-2.70



> Which value of calculated density does entry 4 give?

16.4 g cm⁻³



> energy relative to the elements of number 3 (MnNb5Tc6)?

-0.2476 eV per atom



> The highest energy relative to the elements belongs to which entry?

La2Nd6Th3



Please write out number 2 again, unchanged.
Ac3Ge3Rh2: optimized geometry, PBE.

Energy relative to the elements   -0.7640 eV per atom
Excess energy over the best structure of this formula in the dataset   0.0517 eV/atom
Calculated density   9.2 g cm⁻³
Crystal system   orthorhombic

a b c (Å): 4.3689 6.2850 15.5594
angles (deg): 90.00 90.00 110.34
Last column: nearest neighbours and their distance in Å.
Positions (direct):
1 Ac 0.9291 0.8582 0.1048  7 Ge 3.27-3.62, 3 Rh 3.29-3.43
2 Ac 0.3476 0.6951 0.7500  5 Ge 3.22-3.52, 4 Rh 3.23
3 Ac 0.9291 0.8582 0.3952  7 Ge 3.27-3.62, 3 Rh 3.29-3.43
4 Ac 0.0709 0.1417 0.6048  7 Ge 3.27-3.62, 3 Rh 3.29-3.43
5 Ac 0.0709 0.1417 0.8952  7 Ge 3.27-3.62, 3 Rh 3.29-3.43
6 Ac 0.6524 0.3049 0.2500  5 Ge 3.22-3.52, 4 Rh 3.23
7 Ge 0.6465 0.2929 0.7500  2 Rh 2.74
8 Ge 0.3430 0.6861 0.9629  3 Rh 2.54-2.66
9 Ge 0.3430 0.6861 0.5371  3 Rh 2.54-2.66
10 Ge 0.6570 0.3139 0.0371  3 Rh 2.54-2.66
11 Ge 0.6570 0.3139 0.4629  3 Rh 2.54-2.66
12 Ge 0.3535 0.7071 0.2500  2 Rh 2.74
13 Rh 0.2199 0.4398 0.1061  4 Ge 2.54-2.74
14 Rh 0.7801 0.5602 0.6061  4 Ge 2.54-2.74
15 Rh 0.2199 0.4398 0.3939  4 Ge 2.54-2.74
16 Rh 0.7801 0.5602 0.8939  4 Ge 2.54-2.74